28
Lattice="12.446 0.013 0.008 10.338 6.931 0.008 10.338 3.151 6.174" Properties=species:S:1:pos:R:3 comment="PBE Cr8Cd3CuS16, relaxed" space_group="R3m, No. 160" dos_at_fermi_per_ev_atom=0.285 raw_formation_energy_kj_per_mol_fu=-1811 magmom_total_mub_per_atom=0.82 pbc="T T T"
Cr 13.548 2.229 3.499
Cr 7.178 4.064 0.387
Cr 12.488 5.706 3.499
Cr 8.225 0.630 0.387
Cr 26.811 8.171 5.010
Cr 10.361 3.158 1.936
Cr 13.548 4.129 0.399
Cr 7.178 2.188 3.447
S 11.543 5.162 1.321
S 17.696 3.250 4.397
S 12.460 2.154 1.321
S 16.501 7.172 4.397
S 14.266 4.348 2.666
S 30.761 9.375 5.748
S 11.543 3.518 4.001
S 17.696 5.393 0.902
S 25.821 6.096 5.728
S 19.499 8.078 2.557
S 24.831 9.342 5.728
S 20.690 4.170 2.557
S 23.092 7.038 4.315
S 6.326 1.928 1.182
S 25.821 7.869 2.835
S 19.499 5.943 6.040
Cu 4.147 1.264 0.775
Cd 20.718 6.314 3.871
Cd 0.007 0.002 0.001
Cd 16.603 5.060 3.102